Computed, not measured: an optimized crystal structure of Sr3PtAu at the PBE level of DFT.

Cell: 7.8793 9.1283 9.6547 Å, 106.93 90.00 90.00°
With the nearest neighbours (Å) after each atom.
Positions (direct):
Sr 0.1524 0.6074 0.7798  2 Pt 3.10-3.30, 3 Au 3.21-3.27
Sr 0.8476 0.3926 0.2202  2 Pt 3.10-3.30, 3 Au 3.21-3.27
Sr 0.6524 0.8926 0.2202  2 Pt 3.10-3.30, 3 Au 3.21-3.27
Sr 0.3476 0.1074 0.7798  2 Pt 3.10-3.30, 3 Au 3.21-3.27
Sr 0.6881 0.5107 0.8483  1 Pt 3.07, 3 Au 3.25-3.31
Sr 0.3119 0.4893 0.1517  1 Pt 3.07, 3 Au 3.25-3.31
Sr 0.1881 0.9893 0.1517  1 Pt 3.07, 3 Au 3.25-3.31
Sr 0.8119 0.0107 0.8483  1 Pt 3.07, 3 Au 3.25-3.31
Sr 0.9938 0.2134 0.5441  4 Pt 3.06-3.35, 1 Au 3.36
Sr 0.0062 0.7866 0.4559  4 Pt 3.06-3.35, 1 Au 3.36
Sr 0.4938 0.2866 0.4559  4 Pt 3.06-3.35, 1 Au 3.36
Sr 0.5062 0.7134 0.5441  4 Pt 3.06-3.35, 1 Au 3.36
Pt 0.8285 0.5193 0.5544  1 Pt 2.88, 5 Sr 3.06-3.19
Pt 0.1715 0.4807 0.4456  1 Pt 2.88, 5 Sr 3.06-3.19
Pt 0.3285 0.9807 0.4456  1 Pt 2.88, 5 Sr 3.06-3.19
Pt 0.6715 0.0193 0.5544  1 Pt 2.88, 5 Sr 3.06-3.19
Au 0.0321 0.3283 0.9066  1 Au 3.17, 7 Sr 3.21-3.36
Au 0.9679 0.6717 0.0934  1 Au 3.17, 7 Sr 3.21-3.36
Au 0.5321 0.1717 0.0934  1 Au 3.17, 7 Sr 3.21-3.36
Au 0.4679 0.8283 0.9066  1 Au 3.17, 7 Sr 3.21-3.36

Properties
The value obtained for the final energy is -3.582 eV per atom.